Density functional theory data (PBE) for crystalline Ac2TbYO6 at its relaxed geometry.

a b c (Å): 6.050 6.227 8.705
angles (deg): 90.00 89.98 90.00
Element x y z (fractional)
Ac 0.015 0.952 0.250
Ac 0.515 0.548 0.750
Ac 0.985 0.048 0.750
Ac 0.485 0.452 0.250
Tb 0.500 0.000 0.500
Tb 0.000 0.500 0.000
Y 0.500 0.000 0.000
Y 0.000 0.500 0.500
O 0.303 0.699 0.064
O 0.803 0.801 0.564
O 0.697 0.301 0.936
O 0.197 0.199 0.436
O 0.302 0.699 0.436
O 0.802 0.801 0.936
O 0.698 0.301 0.564
O 0.198 0.199 0.064
O 0.881 0.552 0.250
O 0.381 0.948 0.750
O 0.119 0.448 0.750
O 0.619 0.052 0.250

E	-0.3065	Ha/atom
spin magnetization	0.0	μB per formula unit
formation energy (no corrections)	-3435	meV/atom
N(E_F)	0.00	states/eV per atom
space-group type	P2_1/c (14)

***

Density functional theory data (PBE) for crystalline Ac2TcO8 at its relaxed geometry.

a b c (Å): 4.307 4.773 7.960
angles (deg): 107.15 105.70 90.00
Element x y z (fractional)
Ac 0.827 0.319 0.653
Ac 0.173 0.681 0.347
Tc 0.500 0.000 0.000
O 0.458 0.542 0.917
O 0.620 0.051 0.240
O 0.755 0.740 0.510
O 0.003 0.158 0.006
O 0.245 0.260 0.490
O 0.380 0.949 0.760
O 0.542 0.458 0.083
O 0.997 0.842 0.994

E	-0.2613	Ha/atom
spin magnetization	0.0	μB per formula unit
formation energy (no corrections)	-1814	meV/atom
N(E_F)	0.17	states/eV per atom
excess energy over the best structure of this formula in the dataset	9.2	meV/atom
space-group type	C2/m (12)

***

Density functional theory data (PBE) for crystalline AcTcO4 at its relaxed geometry.

a b c (Å): 5.583 5.444 5.518
angles (deg): 96.57 90.00 90.00
Last column: magnetic moment on the atom in μB.
Element x y z (fractional)
Ac 0.000 0.500 0.500  0.04
Ac 0.500 0.000 0.500  0.04
Tc 0.500 0.500 0.000  1.30
Tc 0.000 0.000 0.000  1.30
O 0.221 0.737 0.122  0.05
O 0.279 0.237 0.122  0.05
O 0.625 0.575 0.317  0.06
O 0.125 0.925 0.683  0.06
O 0.875 0.075 0.317  0.06
O 0.375 0.425 0.683  0.06
O 0.721 0.763 0.878  0.05
O 0.779 0.263 0.878  0.05

E	-0.2890	Ha/atom
spin magnetization	1.7	μB per formula unit
formation energy (no corrections)	-2146	meV/atom
N(E_F)	0.59	states/eV per atom
excess energy over the best structure of this formula in the dataset	0.0	meV/atom
space-group type	P2_1/c (14)

***

Density functional theory data (PBE) for crystalline AcTc2O8 at its relaxed geometry.

a b c (Å): 6.457 6.055 6.055
angles (deg): 52.78 72.16 72.16
Last column: magnetic moment on the atom in μB.
Element x y z (fractional)
Ac 0.000 0.000 0.000  0.02
Tc 0.309 0.207 0.207  0.33
Tc 0.691 0.793 0.793  0.33
O 0.790 0.622 0.110  0.03
O 0.790 0.110 0.622  0.03
O 0.210 0.378 0.890  0.03
O 0.818 0.622 0.622  0.01
O 0.210 0.890 0.378  0.03
O 0.603 0.158 0.158  0.01
O 0.397 0.842 0.842  0.01
O 0.182 0.378 0.378  0.01

E	-0.2824	Ha/atom
spin magnetization	1.0	μB per formula unit
formation energy (no corrections)	-1821	meV/atom
N(E_F)	0.49	states/eV per atom
excess energy over the best structure of this formula in the dataset	0.0	meV/atom
space-group type	C2/m (12)